Density functional theory data (GGA-PBE) for MgGaFePd after structural relaxation.

It has space group F-43m (No. 216), with a = 6.1570 Å, b = 6.1570 Å, c = 6.1570 Å, α = 90.00°, β = 90.00° and γ = 90.00°. Symmetry generates all atoms from Mg at (0.0000, 0.0000, 0.0000), Ga at (0.0000, 0.0000, 0.5000), Fe at (0.2500, 0.2500, 0.7500) and Pd at (0.2500, 0.2500, 0.2500).

The total moment is 2.08 μB/f.u. The final energy is -4.768 eV per atom.